[1]
A PBEsol-optimized structure of Cu3Ag. Source: Alexandria, functional SCAN.

The value obtained for the density of states at the Fermi level is 1.25 states/eV/f.u. The magnetic moment comes out at 0.00 Bohr magnetons per cell. Its energy of formation is 112.7 meV/atom.

The space group is Pnma (No. 62) and the conventional cell measures 4.550, 8.488 and 5.267 Å, with angles of 90.00, 90.00 and 90.00 degrees. The asymmetric unit holds Cu at (0.080, 0.250, 0.127), Cu at (0.235, 0.505, 0.869) and Ag at (0.073, 0.250, 0.615).


[2]
A PBEsol-optimized structure of SbAsI2N. Source: Alexandria, functional SCAN.

The value obtained for the density of states at the Fermi level is 3.48 states/eV/f.u. The calculation puts the uncorrected formation energy at 1.04 eV/atom. The value obtained for the energy relative to the lowest polymorph listed for this composition is 0 meV/atom. The magnetic moment comes out at 1.27 Bohr magnetons per cell.

The space group is P4/mmm (No. 123) and the conventional cell measures 5.962, 5.962 and 3.883 Å, with angles of 90.00, 90.00 and 90.00 degrees. The asymmetric unit holds Sb at (0.000, 0.000, 0.000), As at (0.500, 0.500, 0.500), I at (0.000, 0.500, 0.000) and N at (0.000, 0.000, 0.500).


Please write out number 2 again, unchanged.
A PBEsol-optimized structure of SbAsI2N. Source: Alexandria, functional SCAN.

The value obtained for the density of states at the Fermi level is 3.48 states/eV/f.u. The calculation puts the uncorrected formation energy at 1.04 eV/atom. The value obtained for the energy relative to the lowest polymorph listed for this composition is 0 meV/atom. The magnetic moment comes out at 1.27 Bohr magnetons per cell.

The space group is P4/mmm (No. 123) and the conventional cell measures 5.962, 5.962 and 3.883 Å, with angles of 90.00, 90.00 and 90.00 degrees. The asymmetric unit holds Sb at (0.000, 0.000, 0.000), As at (0.500, 0.500, 0.500), I at (0.000, 0.500, 0.000) and N at (0.000, 0.000, 0.500).